A plane-wave DFT calculation with GGA-PBE was carried out for an optimized crystal structure of Nd4YCd.

Unit cell a=3.6935 b=3.6935 c=14.3297 alpha=90.00 beta=90.00 gamma=90.00
Fractional coordinates of all 6 atoms:
Nd  0.0000  0.0000  0.3534
Cd  0.5000  0.5000  0.5000
Nd  0.0000  0.0000  0.6466
Nd  0.5000  0.5000  0.1759
Y  0.0000  0.0000  0.0000
Nd  0.5000  0.5000  0.8241

Distance to the lowest polymorph of the same formula   0.00 eV per formula unit
Calculated formation energy   -0.095 eV per atom